No. 1
Below is a relaxed Zn3CdF8 crystal, with properties calculated at the PBE level.

For the energy relative to the elements, uncorrected, the calculation gives -2.229 eV per atom. The total magnetic moment comes out at 0.00 μB per formula unit.

Cell: 6.745 6.745 6.729 Å, 97.63 97.63 34.70°
Fractional positions:
Zn 0.000 0.000 0.000
Zn 0.127 0.127 0.576
Zn 0.828 0.828 0.602
Cd 0.701 0.701 0.077
F 0.099 0.099 0.272
F 0.164 0.164 0.918
F 0.291 0.291 0.595
F 0.523 0.523 0.011
F 0.657 0.657 0.600
F 0.830 0.830 0.312
F 0.846 0.846 0.912
F 0.987 0.987 0.674

---

No. 2
Below is a relaxed ZnCdF6 crystal, with properties calculated at the PBE level.

For the energy relative to the elements, uncorrected, the calculation gives -1.571 eV per atom. The total magnetic moment comes out at 2.07 μB per formula unit.

Cell: 5.071 5.071 4.947 Å, 90.00 90.00 120.00°
Fractional positions:
Zn 0.000 0.000 0.000
Cd 0.333 0.667 0.500
F 0.313 0.003 0.234
F 0.313 0.310 0.766
F 0.690 0.003 0.766
F 0.690 0.687 0.234
F 0.997 0.310 0.234
F 0.997 0.687 0.766

---

No. 3
Below is a relaxed ZnCd3F crystal, with properties calculated at the PBE level.

As for the energy above the most stable polymorph in this dataset: 0 meV per atom. For the energy relative to the elements, uncorrected, the calculation gives -0.209 eV per atom. The total magnetic moment comes out at 0.00 μB per formula unit.

Cell: 4.823 4.823 4.823 Å, 90.00 90.00 90.00°
Fractional positions:
Zn 0.000 0.000 0.000
Cd 0.000 0.500 0.500
Cd 0.500 0.000 0.500
Cd 0.500 0.500 0.000
F 0.500 0.500 0.500

---

No. 4
Below is a relaxed ZnCd4F10 crystal, with properties calculated at the PBE level.

For the energy relative to the elements, uncorrected, the calculation gives -2.188 eV per atom. The total magnetic moment comes out at 0.00 μB per formula unit.

Cell: 15.574 15.574 15.574 Å, 14.22 14.22 14.22°
Fractional positions:
Zn 0.000 0.000 0.000
Cd 0.201 0.201 0.201
Cd 0.396 0.396 0.396
Cd 0.604 0.604 0.604
Cd 0.799 0.799 0.799
F 0.045 0.045 0.045
F 0.149 0.149 0.149
F 0.253 0.253 0.253
F 0.347 0.347 0.347
F 0.448 0.448 0.448
F 0.552 0.552 0.552
F 0.653 0.653 0.653
F 0.747 0.747 0.747
F 0.851 0.851 0.851
F 0.955 0.955 0.955

---

No. 5
Below is a relaxed ZnCdF3 crystal, with properties calculated at the PBE level.

As for the energy above the most stable polymorph in this dataset: 0 meV per atom. For the energy relative to the elements, uncorrected, the calculation gives -1.818 eV per atom. The total magnetic moment comes out at 0.00 μB per formula unit.

Cell: 4.126 4.126 4.126 Å, 90.00 90.00 90.00°
Fractional positions:
Zn 0.000 0.000 0.000
Cd 0.500 0.500 0.500
F 0.000 0.000 0.500
F 0.000 0.500 0.000
F 0.500 0.000 0.000

---

No. 6
Below is a relaxed Zn2Cd5F12 crystal, with properties calculated at the PBE level.

For the energy relative to the elements, uncorrected, the calculation gives -2.055 eV per atom. The total magnetic moment comes out at 0.00 μB per formula unit.

Cell: 7.154 7.154 7.336 Å, 105.39 105.39 51.47°
Fractional positions:
Zn 0.246 0.754 0.000
Zn 0.754 0.246 0.000
Cd 0.000 0.000 0.500
Cd 0.300 0.300 0.630
Cd 0.305 0.305 0.170
Cd 0.695 0.695 0.830
Cd 0.700 0.700 0.370
F 0.000 0.000 0.187
F 0.000 0.000 0.813
F 0.100 0.611 0.425
F 0.102 0.564 0.915
F 0.389 0.900 0.575
F 0.436 0.898 0.085
F 0.499 0.499 0.191
F 0.501 0.501 0.809
F 0.564 0.102 0.915
F 0.611 0.100 0.425
F 0.898 0.436 0.085
F 0.900 0.389 0.575

---

No. 7
Below is a relaxed Zn3CdF crystal, with properties calculated at the PBE level.

As for the energy above the most stable polymorph in this dataset: 205 meV per atom. For the energy relative to the elements, uncorrected, the calculation gives 0.041 eV per atom. The total magnetic moment comes out at 0.00 μB per formula unit.

Cell: 5.069 5.069 5.069 Å, 90.00 90.00 90.00°
Fractional positions:
Zn 0.000 0.000 0.500
Zn 0.000 0.500 0.000
Zn 0.500 0.000 0.000
Cd 0.000 0.000 0.000
F 0.500 0.500 0.500

---

No. 8
Below is a relaxed Zn2CdF6 crystal, with properties calculated at the PBE level.

As for the energy above the most stable polymorph in this dataset: 0 meV per atom. For the energy relative to the elements, uncorrected, the calculation gives -2.258 eV per atom. The total magnetic moment comes out at 0.00 μB per formula unit.

Cell: 5.589 5.589 7.108 Å, 117.02 117.02 40.68°
Fractional positions:
Zn 0.174 0.174 0.111
Zn 0.826 0.826 0.889
Cd 0.000 0.000 0.500
F 0.014 0.014 0.194
F 0.287 0.287 0.912
F 0.355 0.355 0.401
F 0.645 0.645 0.599
F 0.713 0.713 0.088
F 0.986 0.986 0.806

---

No. 9
Below is a relaxed Zn4CdF8 crystal, with properties calculated at the PBE level.

For the energy relative to the elements, uncorrected, the calculation gives -1.939 eV per atom. The total magnetic moment comes out at 0.00 μB per formula unit.

Cell: 6.607 6.607 6.607 Å, 60.00 60.00 60.00°
Fractional positions:
Zn 0.123 0.123 0.123
Zn 0.123 0.123 0.632
Zn 0.123 0.632 0.123
Zn 0.632 0.123 0.123
Cd 0.500 0.500 0.500
F 0.308 0.897 0.897
F 0.350 0.350 0.350
F 0.350 0.350 0.951
F 0.350 0.951 0.350
F 0.897 0.308 0.897
F 0.897 0.897 0.308
F 0.897 0.897 0.897
F 0.951 0.350 0.350

---

No. 10
Below is a relaxed ZnCd2F8 crystal, with properties calculated at the PBE level.

For the energy relative to the elements, uncorrected, the calculation gives -1.696 eV per atom. The total magnetic moment comes out at 2.12 μB per formula unit.

Cell: 7.626 7.626 6.127 Å, 101.03 101.03 27.35°
Fractional positions:
Zn 0.000 0.000 0.000
Cd 0.209 0.209 0.724
Cd 0.791 0.791 0.276
F 0.062 0.062 0.760
F 0.214 0.214 0.118
F 0.327 0.327 0.515
F 0.434 0.434 0.869
F 0.566 0.566 0.131
F 0.673 0.673 0.485
F 0.786 0.786 0.882
F 0.938 0.938 0.240

---

No. 11
Below is a relaxed ZnCdF2 crystal, with properties calculated at the PBE level.

As for the energy above the most stable polymorph in this dataset: 149 meV per atom. For the energy relative to the elements, uncorrected, the calculation gives -1.433 eV per atom. The total magnetic moment comes out at 0.00 μB per formula unit.

Cell: 6.177 6.177 6.177 Å, 127.13 127.13 78.04°
Fractional positions:
Zn 0.000 0.000 0.000
Zn 0.750 0.250 0.500
Cd 0.250 0.750 0.500
Cd 0.500 0.500 0.000
F 0.375 0.229 0.354
F 0.771 0.125 0.146
F 0.875 0.021 0.646
F 0.979 0.625 0.854

---

No. 12
Below is a relaxed ZnCdF crystal, with properties calculated at the PBE level.

For the energy relative to the elements, uncorrected, the calculation gives -0.970 eV per atom. The total magnetic moment comes out at 0.00 μB per formula unit.

Cell: 14.040 2.976 2.976 Å, 59.86 90.00 90.00°
Fractional positions:
Zn 0.000 0.000 0.000
Zn 0.500 0.098 0.098
Cd 0.318 0.766 0.766
Cd 0.682 0.766 0.766
F 0.087 0.333 0.333
F 0.913 0.333 0.333

---

No. 13
Below is a relaxed Zn2Cd2F crystal, with properties calculated at the PBE level.

As for the energy above the most stable polymorph in this dataset: 0 meV per atom. For the energy relative to the elements, uncorrected, the calculation gives -0.377 eV per atom. The total magnetic moment comes out at 0.00 μB per formula unit.

Cell: 7.415 7.415 3.503 Å, 90.00 90.00 90.00°
Fractional positions:
Zn 0.118 0.382 0.000
Zn 0.382 0.882 0.000
Zn 0.618 0.118 0.000
Zn 0.882 0.618 0.000
Cd 0.188 0.688 0.500
Cd 0.312 0.188 0.500
Cd 0.688 0.812 0.500
Cd 0.812 0.312 0.500
F 0.000 0.000 0.500
F 0.500 0.500 0.500

---

No. 14
Below is a relaxed Zn2CdF6 crystal, with properties calculated at the PBE level.

As for the energy above the most stable polymorph in this dataset: 40 meV per atom. For the energy relative to the elements, uncorrected, the calculation gives -2.218 eV per atom. The total magnetic moment comes out at 0.00 μB per formula unit.

Cell: 5.778 5.778 5.778 Å, 57.74 57.74 57.74°
Fractional positions:
Zn 0.000 0.000 0.000
Zn 0.201 0.201 0.201
Cd 0.505 0.505 0.505
F 0.124 0.814 0.361
F 0.242 0.602 0.941
F 0.361 0.124 0.814
F 0.602 0.941 0.242
F 0.814 0.361 0.124
F 0.941 0.242 0.602

---

No. 15
Below is a relaxed Zn2CdF8 crystal, with properties calculated at the PBE level.

For the energy relative to the elements, uncorrected, the calculation gives -1.743 eV per atom. The total magnetic moment comes out at 1.94 μB per formula unit.

Cell: 6.500 6.500 6.500 Å, 131.20 131.20 71.50°
Fractional positions:
Zn 0.250 0.750 0.500
Zn 0.750 0.250 0.500
Cd 0.000 0.000 0.000
F 0.044 0.562 0.865
F 0.179 0.044 0.482
F 0.304 0.438 0.482
F 0.438 0.956 0.135
F 0.562 0.696 0.518
F 0.696 0.179 0.135
F 0.821 0.304 0.865
F 0.956 0.821 0.518

---

No. 16
Below is a relaxed ZnCd2F5 crystal, with properties calculated at the PBE level.

For the energy relative to the elements, uncorrected, the calculation gives -1.991 eV per atom. The total magnetic moment comes out at 0.00 μB per formula unit.

Cell: 6.448 6.448 10.317 Å, 90.00 90.00 142.31°
Fractional positions:
Zn 0.176 0.824 0.750
Zn 0.824 0.176 0.250
Cd 0.129 0.871 0.098
Cd 0.129 0.871 0.402
Cd 0.871 0.129 0.598
Cd 0.871 0.129 0.902
F 0.062 0.938 0.609
F 0.062 0.938 0.891
F 0.293 0.707 0.250
F 0.293 0.707 0.595
F 0.293 0.707 0.905
F 0.707 0.293 0.095
F 0.707 0.293 0.405
F 0.707 0.293 0.750
F 0.938 0.062 0.109
F 0.938 0.062 0.391

---

No. 17
Below is a relaxed Zr2ZnCdF crystal, with properties calculated at the PBE level.

For the energy relative to the elements, uncorrected, the calculation gives -0.452 eV per atom. The total magnetic moment comes out at 0.00 μB per formula unit.

Cell: 4.460 4.460 4.806 Å, 90.00 90.00 90.00°
Fractional positions:
Zr 0.000 0.500 0.000
Zr 0.500 0.000 0.000
Zn 0.000 0.000 0.500
Cd 0.500 0.500 0.500
F 0.500 0.500 0.000

---

No. 18
Below is a relaxed ZrCdF3 crystal, with properties calculated at the PBE level.

As for the energy above the most stable polymorph in this dataset: 0 meV per atom. For the energy relative to the elements, uncorrected, the calculation gives -2.346 eV per atom. The total magnetic moment comes out at 1.00 μB per formula unit.

Cell: 4.396 4.396 4.396 Å, 90.00 90.00 90.00°
Fractional positions:
Zr 0.000 0.000 0.000
Cd 0.500 0.500 0.500
F 0.000 0.000 0.500
F 0.000 0.500 0.000
F 0.500 0.000 0.000

---

No. 19
Below is a relaxed Zr2Cd2F crystal, with properties calculated at the PBE level.

For the energy relative to the elements, uncorrected, the calculation gives -0.795 eV per atom. The total magnetic moment comes out at 0.00 μB per formula unit.

Cell: 6.154 6.154 5.339 Å, 90.00 90.00 90.00°
Fractional positions:
Zr 0.161 0.339 0.000
Zr 0.339 0.839 0.000
Zr 0.661 0.161 0.000
Zr 0.839 0.661 0.000
Cd 0.163 0.663 0.500
Cd 0.337 0.163 0.500
Cd 0.663 0.837 0.500
Cd 0.837 0.337 0.500
F 0.000 0.000 0.000
F 0.500 0.500 0.000

---

No. 20
Below is a relaxed ZrCd2F8 crystal, with properties calculated at the PBE level.

As for the energy above the most stable polymorph in this dataset: 0 meV per atom. For the energy relative to the elements, uncorrected, the calculation gives -2.813 eV per atom. The total magnetic moment comes out at 0.16 μB per formula unit.

Cell: 6.060 6.060 8.164 Å, 104.06 104.06 36.42°
Fractional positions:
Zr 0.000 0.000 0.000
Cd 0.239 0.239 0.684
Cd 0.761 0.761 0.316
F 0.089 0.089 0.812
F 0.185 0.185 0.141
F 0.330 0.330 0.468
F 0.448 0.448 0.858
F 0.552 0.552 0.142
F 0.670 0.670 0.532
F 0.815 0.815 0.859
F 0.911 0.911 0.188

---

No. 21
Below is a relaxed ZrCdF3 crystal, with properties calculated at the PBE level.

As for the energy above the most stable polymorph in this dataset: 1067 meV per atom. For the energy relative to the elements, uncorrected, the calculation gives -1.279 eV per atom. The total magnetic moment comes out at 2.64 μB per formula unit.

Cell: 4.445 4.445 4.445 Å, 90.00 90.00 90.00°
Fractional positions:
Zr 0.000 0.000 0.000
Cd 0.500 0.500 0.500
F 0.000 0.500 0.500
F 0.500 0.000 0.500
F 0.500 0.500 0.000

---

No. 22
Below is a relaxed ZrCd2F8 crystal, with properties calculated at the PBE level.

As for the energy above the most stable polymorph in this dataset: 37 meV per atom. For the energy relative to the elements, uncorrected, the calculation gives -2.776 eV per atom. The total magnetic moment comes out at 0.17 μB per formula unit.

Cell: 7.729 7.729 5.163 Å, 104.15 104.15 27.86°
Fractional positions:
Zr 0.000 0.000 0.000
Cd 0.324 0.324 0.329
Cd 0.676 0.676 0.671
F 0.088 0.088 0.383
F 0.133 0.133 0.923
F 0.270 0.270 0.708
F 0.475 0.475 0.198
F 0.525 0.525 0.802
F 0.730 0.730 0.292
F 0.867 0.867 0.077
F 0.912 0.912 0.617

---

No. 23
Below is a relaxed Cd3Fe crystal, with properties calculated at the PBE level.

The total magnetic moment comes out at 2.51 μB per formula unit. The energy of formation comes out at 0.25 eV/atom.

Cell: 6.393 6.393 6.393 Å, 153.07 136.70 51.73°
Fractional positions:
Cd 0.000 0.000 0.000
Cd 0.300 0.800 0.500
Cd 0.700 0.200 0.500
Fe 0.500 0.500 0.000